1.
Here is a relaxed HoTlGa2 crystal from Alexandria. Energies are from GGA-PBE.

Cell: 4.3296 4.5064 4.5064 Å, 90.00 90.00 90.00°
Atoms (fractional coordinates):
Tl1 0.5000 0.0000 0.0000
Ga1 0.0000 0.0000 0.5000
Ga2 0.0000 0.5000 0.0000
Ho1 0.5000 0.5000 0.5000

Calculated values
- excess energy over the best structure of this formula in the dataset (meV per atom) = 0
- SG = P4/mmm (123)

***

2.
Here is a relaxed HoTl2Ga crystal from Alexandria. Energies are from GGA-PBE.

Cell: 4.6682 4.5856 4.5856 Å, 90.00 90.00 90.00°
Atoms (fractional coordinates):
Tl1 0.0000 0.0000 0.5000
Tl2 0.0000 0.5000 0.0000
Ga1 0.5000 0.0000 0.0000
Ho1 0.5000 0.5000 0.5000

Calculated values
- excess energy over the best structure of this formula in the dataset (meV per atom) = 0
- SG = P4/mmm (123)

***

3.
Here is a relaxed Ho4Tl3Ga crystal from Alexandria. Energies are from GGA-PBE.

Cell: 3.6600 3.6600 15.4376 Å, 90.00 90.00 90.00°
Atoms (fractional coordinates):
Ho1 0.0000 0.0000 0.8882
Ho2 0.0000 0.0000 0.3701
Ho3 0.0000 0.0000 0.1118
Ho4 0.0000 0.0000 0.6299
Tl1 0.5000 0.5000 0.7579
Tl2 0.5000 0.5000 0.5000
Tl3 0.5000 0.5000 0.2421
Ga1 0.5000 0.5000 0.0000

Calculated values
- excess energy over the best structure of this formula in the dataset (meV per atom) = 0
- SG = P4/mmm (123)

***

4.
Here is a relaxed Ho12Tl3Ga5 crystal from Alexandria. Energies are from GGA-PBE.

Cell: 14.9501 14.9501 14.9501 Å, 109.47 109.47 109.47°
Atoms (fractional coordinates):
Ho1 0.0780 0.9074 0.1226
Ho2 0.4220 0.3774 0.5926
Ho3 0.3294 0.5446 0.4220
Ho4 0.7848 0.4554 0.3774
Ho5 0.9074 0.8294 0.7848
Ho6 0.5926 0.7152 0.6706
Ho7 0.4074 0.2848 0.3294
Ho8 0.3774 0.4220 0.0926
Ho9 0.1706 0.0780 0.9554
Ho10 0.4554 0.7848 0.8774
Ho11 0.0926 0.1706 0.2152
Ho12 0.3294 0.7848 0.4074
Ho13 0.1226 0.7152 0.5446
Ho14 0.6706 0.4554 0.5780
Ho15 0.8294 0.9220 0.0446
Ho16 0.4074 0.1226 0.5780
Ho17 0.0926 0.9220 0.3774
Ho18 0.9554 0.3774 0.2848
Ho19 0.5926 0.8774 0.4220
Ho20 0.9074 0.0780 0.6226
Ho21 0.6226 0.5780 0.9074
Ho22 0.9220 0.8294 0.5446
Ho23 0.8774 0.2848 0.4554
Ho24 0.5446 0.2152 0.1226
Ho25 0.5446 0.3294 0.9220
Ho26 0.2152 0.6706 0.0926
Ho27 0.9220 0.0926 0.8774
Ho28 0.2848 0.8774 0.9554
Ho29 0.6226 0.0446 0.2152
Ho30 0.1706 0.0926 0.7152
Ho31 0.5780 0.6226 0.4074
Ho32 0.7152 0.5926 0.1706
Ho33 0.8294 0.9074 0.2848
Ho34 0.7152 0.1226 0.0446
Ho35 0.0446 0.6226 0.7152
Ho36 0.4220 0.0446 0.3294
Ho37 0.0446 0.4220 0.8294
Ho38 0.0780 0.1706 0.4554
Ho39 0.3774 0.9554 0.7848
Ho40 0.4554 0.6706 0.0780
Ho41 0.6706 0.2152 0.5926
Ho42 0.7848 0.3294 0.9074
Ho43 0.2152 0.5446 0.6226
Ho44 0.2848 0.4074 0.8294
Ho45 0.9554 0.5780 0.1706
Ho46 0.1226 0.4074 0.0780
Ho47 0.8774 0.5926 0.9220
Ho48 0.5780 0.9554 0.6706
Ga1 0.1250 0.3750 0.2500
Ga2 0.0000 0.5000 0.0000
Ga3 0.2500 0.3750 0.6250
Ga4 0.6250 0.7500 0.8750
Ga5 0.3750 0.1250 0.7500
Ga6 0.7500 0.6250 0.3750
Ga7 0.5000 0.0000 0.0000
Ga8 0.0000 0.0000 0.5000
Ga9 0.8750 0.2500 0.6250
Ga10 0.0000 0.0000 0.0000
Ga11 0.5000 0.5000 0.5000
Ga12 0.0000 0.5000 0.5000
Ga13 0.6250 0.8750 0.2500
Ga14 0.5000 0.0000 0.5000
Ga15 0.1250 0.7500 0.3750
Ga16 0.2500 0.8750 0.1250
Ga17 0.7500 0.1250 0.8750
Ga18 0.8750 0.6250 0.7500
Ga19 0.5000 0.5000 0.0000
Ga20 0.3750 0.2500 0.1250
Tl1 0.3750 0.6250 0.2500
Tl2 0.6250 0.3750 0.7500
Tl3 0.3750 0.7500 0.6250
Tl4 0.7500 0.3750 0.1250
Tl5 0.2500 0.6250 0.8750
Tl6 0.6250 0.2500 0.3750
Tl7 0.1250 0.2500 0.8750
Tl8 0.7500 0.8750 0.6250
Tl9 0.2500 0.1250 0.3750
Tl10 0.8750 0.1250 0.2500
Tl11 0.8750 0.7500 0.1250
Tl12 0.1250 0.8750 0.7500

Calculated values
- SG = Ia-3d (230)

***

5.
Here is a relaxed Ho4TlGa3 crystal from Alexandria. Energies are from GGA-PBE.

Cell: 4.3977 4.1131 11.0028 Å, 90.00 90.00 90.00°
Atoms (fractional coordinates):
Ho1 0.0000 0.0000 0.1451
Ho2 0.5000 0.5000 0.3705
Ho3 0.5000 0.0000 0.6366
Ho4 0.0000 0.5000 0.8546
Ga1 0.0000 0.0000 0.4246
Ga2 0.5000 0.0000 0.9089
Ga3 0.0000 0.5000 0.5767
Tl1 0.5000 0.5000 0.0830

Calculated values
- SG = Pmm2 (25)

***

6.
Here is a relaxed Ho6Tl5Ga crystal from Alexandria. Energies are from GGA-PBE.

Cell: 5.3309 7.4000 8.4286 Å, 90.00 71.56 90.00°
Atoms (fractional coordinates):
Ho1 0.8384 0.2460 0.3231
Ho2 0.5000 0.7592 0.0000
Ho3 0.5000 0.2408 0.0000
Ho4 0.1616 0.7540 0.6769
Ho5 0.1616 0.2460 0.6769
Ho6 0.8384 0.7540 0.3231
Tl1 0.0000 0.5000 0.0000
Tl2 0.6697 0.0000 0.6606
Tl3 0.6685 0.5000 0.6630
Tl4 0.3303 0.0000 0.3394
Tl5 0.3315 0.5000 0.3370
Ga1 0.0000 0.0000 0.0000

Calculated values
- excess energy over the best structure of this formula in the dataset (meV per atom) = 0
- SG = Cmmm (65)

***

7.
Here is a relaxed Ho6Tl5Ga crystal from Alexandria. Energies are from GGA-PBE.

Cell: 6.4961 9.4538 7.3997 Å, 50.30 81.25 76.23°
Atoms (fractional coordinates):
Tl1 0.5000 0.5000 0.0000
Tl2 0.5000 0.1913 0.6173
Tl3 0.5000 0.8087 0.3827
Tl4 0.0000 0.3511 0.2978
Tl5 0.0000 0.6489 0.7022
Ho1 0.2638 0.2236 0.0000
Ho2 0.2303 0.9278 0.6783
Ho3 0.2303 0.6060 0.3217
Ho4 0.7697 0.3940 0.6783
Ho5 0.7362 0.7764 0.0000
Ho6 0.7697 0.0722 0.3217
Ga1 0.0000 0.0000 0.0000

Calculated values
- excess energy over the best structure of this formula in the dataset (meV per atom) = 81
- SG = C2/m (12)

***

8.
Here is a relaxed Ho2TmGa crystal from Alexandria. Energies are from GGA-PBE.

Cell: 3.6359 6.5846 9.4779 Å, 90.00 90.00 106.02°
Atoms (fractional coordinates):
Ho1 0.3667 0.7322 0.9492
Ho2 0.3667 0.7322 0.5508
Ho3 0.6333 0.2678 0.4492
Ho4 0.6333 0.2678 0.0508
Tm1 0.9446 0.8897 0.2500
Tm2 0.0554 0.1103 0.7500
Ga1 0.2568 0.5144 0.2500
Ga2 0.7432 0.4856 0.7500

Calculated values
- excess energy over the best structure of this formula in the dataset (meV per atom) = 0
- SG = Cmcm (63)

***

9.
Here is a relaxed HoTmGa crystal from Alexandria. Energies are from GGA-PBE.

Cell: 3.6280 5.1107 8.3026 Å, 90.03 102.63 90.00°
Atoms (fractional coordinates):
Ho1 0.8523 0.5259 0.3909
Ho2 0.0079 0.0249 0.7021
Ga1 0.5078 0.5246 0.7020
Ga2 0.3523 0.0262 0.3910
Tm1 0.7064 0.0256 0.0990
Tm2 0.1537 0.5253 0.9940

Calculated values
- excess energy over the best structure of this formula in the dataset (meV per atom) = 0
- SG = C2/m (12)

***

10.
Here is a relaxed Ho3TmGa12 crystal from Alexandria. Energies are from GGA-PBE.

Cell: 4.2552 4.2552 17.0594 Å, 90.00 90.00 90.00°
Atoms (fractional coordinates):
Ga1 0.5000 0.5000 0.7500
Ga2 0.5000 0.5000 0.0000
Ga3 0.5000 0.0000 0.3746
Ga4 0.0000 0.5000 0.1239
Ga5 0.5000 0.0000 0.8761
Ga6 0.0000 0.5000 0.6254
Ga7 0.5000 0.0000 0.1239
Ga8 0.0000 0.5000 0.8761
Ga9 0.0000 0.5000 0.3746
Ga10 0.5000 0.0000 0.6254
Ga11 0.5000 0.5000 0.2500
Ga12 0.5000 0.5000 0.5000
Ho1 0.0000 0.0000 0.7509
Ho2 0.0000 0.0000 0.2491
Ho3 0.0000 0.0000 0.5000
Tm1 0.0000 0.0000 0.0000

Calculated values
- SG = P4/mmm (123)

***

no.,ΔE_f (eV per formula unit),density (g cm⁻³)
1,-1.46,9.6
2,-1.06,10.9
3,-3.11,10.8
4,1.32,7.6
5,-4.20,9.0
6,-4.26,11.0
7,-3.29,10.2
8,-1.13,8.7
9,-1.18,8.9
10,-8.35,8.1